## CuAuSe (PBE)

Data for CuAuSe after structural relaxation.

Cell lengths 3.031, 3.031, 6.687 Å; angles 90.00, 90.00, 120.00 degrees
Sites, in units of the cell vectors:
Se (0.333, 0.667, 0.615)
Cu (0.667, 0.333, 0.345)
Au (0.000, 0.000, 0.041)

Summary:
The value obtained for the raw total energy is -0.2543 Ry per atom.



## Nd6In3Hg (PBE)

Data for Nd6In3Hg after structural relaxation.

Cell lengths 8.597, 8.190, 9.175 Å; angles 90.00, 92.20, 90.00 degrees
Sites, in units of the cell vectors:
Nd (0.761, 0.396, 0.262)
Nd (0.182, 0.327, 0.429)
Nd (0.352, 0.854, 0.438)
Nd (0.818, 0.673, 0.571)
Nd (0.239, 0.604, 0.738)
Nd (0.682, 0.173, 0.929)
Nd (0.852, 0.646, 0.938)
Nd (0.261, 0.104, 0.762)
Nd (0.739, 0.896, 0.238)
Nd (0.148, 0.354, 0.062)
Nd (0.318, 0.827, 0.071)
Nd (0.648, 0.146, 0.562)
In (0.548, 0.838, 0.780)
In (0.048, 0.662, 0.280)
In (0.500, 0.500, 0.000)
In (0.952, 0.338, 0.720)
In (0.452, 0.162, 0.220)
In (0.000, 0.000, 0.500)
Hg (0.500, 0.500, 0.500)
Hg (0.000, 0.000, 0.000)

Summary:
As for the energy above the most stable polymorph in this dataset: 141.8 meV/atom.



no.,calculated volume (Å³/atom)
1,17.74
2,32.28